DFT (PBE) results for crystalline Ag2PbBr5 at its relaxed geometry.

Crystal system: orthorhombic

The structure in extended XYZ format:
```
8
Lattice="-2.7090 0.4794 5.6777 -7.0231 1.5126 0.0267 -2.7347 -6.1667 2.7212" Properties=species:S:1:pos:R:3 pbc="T T T"
Ag -8.1560 -4.4844 7.0033
Ag -4.3108 0.3098 1.4224
Pb -6.2334 -2.0873 4.2128
Br -8.4093 -3.7209 3.3126
Br -7.5370 0.3276 3.3869
Br -4.8789 -2.3270 1.3740
Br -4.0575 -0.4537 5.1131
Br -4.9298 -4.5023 5.0387
```



DFT (PBE) results for crystalline AgPdPbBr6 at its relaxed geometry.

Crystal system: trigonal

The structure in extended XYZ format:
```
18
Lattice="-6.9577 -0.0037 -1.4353 3.5084 -6.1492 0.5905 -2.4870 -0.2611 12.0562" Properties=species:S:1:pos:R:3 pbc="T T T"
Ag 0.0000 0.0000 0.0000
Ag -1.2435 -0.1306 6.0281
Pd -4.0908 -2.1175 2.2540
Pd -1.8456 -4.2965 8.9574
Pb -0.6021 -4.1660 2.9293
Pb -5.3343 -2.2480 8.2821
Br -2.8514 -3.9547 0.8765
Br -5.8210 -1.9592 0.3071
Br -0.3926 -6.0074 7.6267
Br -0.1153 -4.4548 10.9042
Br -2.3617 -2.0232 4.2061
Br -5.3122 -4.0219 3.5542
Br -3.2818 -6.0748 10.2160
Br -5.5438 -0.4066 3.5847
Br -0.6242 -2.3921 7.6572
Br -2.6545 -0.3392 0.9954
Br -3.5746 -4.3908 7.0053
Br -3.0849 -2.4593 10.3349
```



no.,ΔE_f (raw) (eV per atom)
1,-0.3873
2,-0.4349